i.
VASP calculation (GGA-PBEsol) on crystalline CuSn2As2 at its relaxed geometry.

The value obtained for the spin magnetization is 0.00 μB/atom.

The space group is I4/mmm (No. 139) and the conventional cell measures 3.575, 3.575 and 16.910 Å, with angles of 90.00, 90.00 and 90.00 degrees. The inequivalent atoms are Cu at (0.000, 0.000, 0.000), Sn at (0.000, 0.000, 0.409) and As at (0.000, 0.500, 0.250).

---

ii.
VASP calculation (GGA-PBEsol) on crystalline CuSn2As2 at its relaxed geometry.

The value obtained for the spin magnetization is 0.00 μB/atom.

The space group is P4/mbm (No. 127) and the conventional cell measures 6.181, 6.181 and 5.657 Å, with angles of 90.00, 90.00 and 90.00 degrees. The inequivalent atoms are Cu at (0.000, 0.000, 0.000), Sn at (0.207, 0.293, 0.500) and As at (0.141, 0.359, 0.000).

---

Among the structures shown above, ii is the most stable, with the second-best lying 0.263 eV/atom higher.